Entry 1:
NdHfIr2 | Alexandria | GGA-PBE | relaxed; crystal system = tetragonal; symmetry = P4/mmm, No. 123; energy = -0.3257 Ha/atom; DOS at the Fermi energy = 3.19 states/eV per cell; DFT formation energy = -0.75 eV/atom
1.0
3.343 0.000 0.000
0.000 3.343 0.000
0.000 0.000 7.111
Nd Hf Ir
1 1 2
Cartesian
0.000 0.000 0.000
0.000 0.000 3.556
1.672 1.672 2.047
1.672 1.672 5.064



Entry 2:
NdHf2Ir2 | Alexandria | GGA-PBE | relaxed; crystal system = tetragonal; symmetry = I4/mmm, No. 139; energy = -0.3420 Ha/atom; DOS at the Fermi energy = 4.50 states/eV per cell; DFT formation energy = -0.83 eV/atom
1.0
-2.245 2.245 5.529
2.245 -2.245 5.529
2.245 2.245 -5.529
Nd Hf Ir
1 2 2
Cartesian
0.000 0.000 0.000
2.245 0.000 2.764
0.000 2.245 2.764
0.000 0.000 4.222
0.000 0.000 6.836



Entry 3:
NdHfIr | Alexandria | GGA-PBE | relaxed; crystal system = tetragonal; symmetry = P4/nmm, No. 129; energy = -0.3146 Ha/atom; DOS at the Fermi energy = 6.89 states/eV per cell; DFT formation energy = -0.70 eV/atom
1.0
4.610 0.000 0.000
0.000 4.610 0.000
0.000 0.000 6.822
Nd Hf Ir
2 2 2
Cartesian
1.152 1.152 0.894
3.457 3.457 5.928
1.152 3.457 3.411
3.457 1.152 3.411
1.152 1.152 4.802
3.457 3.457 2.020